Entry 1:
VASP calculation (PBE) on a geometry-optimized Hf2TiSb structure.

## Properties
The value obtained for the size of the total moment is 0.2131 μB/atom. Its total energy is -30.8 eV/f.u.

a b c (Å): 7.905 7.905 5.770
angles (deg): 90.00 90.00 90.00
Element x y z (fractional)
1 Hf 0.246 0.250 0.125
2 Hf 0.250 0.746 0.375
3 Hf 0.250 0.754 0.875
4 Hf 0.254 0.250 0.625
5 Hf 0.746 0.750 0.625
6 Hf 0.750 0.246 0.875
7 Hf 0.750 0.254 0.375
8 Hf 0.754 0.750 0.125
9 Ti 0.000 0.000 0.500
10 Ti 0.000 0.500 0.750
11 Ti 0.500 0.000 0.250
12 Ti 0.500 0.500 0.000
13 Sb 0.000 0.000 0.000
14 Sb 0.000 0.500 0.250
15 Sb 0.500 0.000 0.750
16 Sb 0.500 0.500 0.500

***

Entry 2:
VASP calculation (PBE) on a geometry-optimized YSi2IrOs structure.

## Properties
The value obtained for the size of the total moment is 0.0000 μB/atom. Its total energy is -42.0 eV/f.u.

a b c (Å): 4.146 4.146 9.757
angles (deg): 90.00 90.00 90.00
Element x y z (fractional)
1 Y 0.000 0.000 0.000
2 Y 0.500 0.500 0.500
3 Si 0.000 0.000 0.374
4 Si 0.000 0.000 0.626
5 Si 0.500 0.500 0.126
6 Si 0.500 0.500 0.874
7 Ir 0.000 0.500 0.250
8 Ir 0.500 0.000 0.750
9 Os 0.000 0.500 0.750
10 Os 0.500 0.000 0.250

***

Entry 3:
VASP calculation (PBE) on a geometry-optimized Tb2MgAl3Au4 structure.

## Properties
The calculation puts the energy relative to the elements at -0.674 eV per atom. The value obtained for the size of the total moment is 0.0000 μB/atom.

a b c (Å): 4.371 4.371 10.703
angles (deg): 90.00 90.00 90.00
Element x y z (fractional)
1 Tb 0.000 0.500 0.240
2 Tb 0.500 0.000 0.760
3 Mg 0.000 0.000 0.500
4 Al 0.000 0.500 0.871
5 Al 0.500 0.000 0.129
6 Al 0.500 0.500 0.500
7 Au 0.000 0.000 0.000
8 Au 0.000 0.500 0.641
9 Au 0.500 0.000 0.359
10 Au 0.500 0.500 0.000

***

Entry 4:
VASP calculation (PBE) on a geometry-optimized La3PrTm2 structure.

## Properties
The energy relative to the lowest polymorph listed for this composition is 15.5 kJ per mole of atoms. The calculation puts the energy relative to the elements at 0.296 eV per atom. The value obtained for the size of the total moment is 0.0000 μB/atom.

a b c (Å): 3.501 6.038 19.823
angles (deg): 90.00 90.00 90.00
Element x y z (fractional)
1 La 0.000 0.000 0.000
2 La 0.000 0.500 0.189
3 La 0.000 0.500 0.811
4 La 0.500 0.000 0.311
5 La 0.500 0.000 0.689
6 La 0.500 0.500 0.500
7 Pr 0.000 0.500 0.000
8 Pr 0.500 0.000 0.500
9 Tm 0.000 0.500 0.362
10 Tm 0.000 0.500 0.638
11 Tm 0.500 0.000 0.138
12 Tm 0.500 0.000 0.862

***

Entry 5:
VASP calculation (PBE) on a geometry-optimized TiAgSe2 structure.

## Properties
The value obtained for the size of the total moment is 0.0000 μB/atom. Its total energy is -17.2 eV/f.u.

a b c (Å): 3.723 3.723 24.412
angles (deg): 90.00 90.00 120.00
Element x y z (fractional)
1 Ti 0.000 0.000 0.000
2 Ti 0.333 0.667 0.667
3 Ti 0.667 0.333 0.333
4 Ag 0.000 0.000 0.500
5 Ag 0.333 0.667 0.167
6 Ag 0.667 0.333 0.833
7 Se 0.000 0.000 0.097
8 Se 0.000 0.000 0.903
9 Se 0.333 0.667 0.570
10 Se 0.333 0.667 0.764
11 Se 0.667 0.333 0.236
12 Se 0.667 0.333 0.430

***

Entry 6:
VASP calculation (PBE) on a geometry-optimized SmErAlCd structure.

## Properties
The energy relative to the lowest polymorph listed for this composition is 1.5 kJ per mole of atoms. The calculation puts the energy relative to the elements at -0.343 eV per atom. The value obtained for the size of the total moment is 0.0000 μB/atom.

a b c (Å): 7.401 7.401 7.401
angles (deg): 90.00 90.00 90.00
Element x y z (fractional)
1 Sm 0.000 0.000 0.000
2 Sm 0.000 0.500 0.500
3 Sm 0.500 0.000 0.500
4 Sm 0.500 0.500 0.000
5 Er 0.000 0.000 0.500
6 Er 0.000 0.500 0.000
7 Er 0.500 0.000 0.000
8 Er 0.500 0.500 0.500
9 Al 0.250 0.250 0.250
10 Al 0.250 0.750 0.750
11 Al 0.750 0.250 0.750
12 Al 0.750 0.750 0.250
13 Cd 0.250 0.250 0.750
14 Cd 0.250 0.750 0.250
15 Cd 0.750 0.250 0.250
16 Cd 0.750 0.750 0.750

***

Entry 7:
VASP calculation (PBE) on a geometry-optimized La2Si3PdPt4 structure.

## Properties
The value obtained for the size of the total moment is 0.0000 μB/atom. Its total energy is -65.6 eV/f.u.

a b c (Å): 4.281 4.281 10.355
angles (deg): 90.00 90.00 90.00
Element x y z (fractional)
1 La 0.000 0.500 0.242
2 La 0.500 0.000 0.758
3 Si 0.000 0.000 0.000
4 Si 0.000 0.500 0.622
5 Si 0.500 0.000 0.378
6 Pd 0.500 0.500 0.000
7 Pt 0.000 0.000 0.500
8 Pt 0.000 0.500 0.850
9 Pt 0.500 0.000 0.150
10 Pt 0.500 0.500 0.500

***

Entry 8:
VASP calculation (PBE) on a geometry-optimized AcTbSmY structure.

## Properties
The energy relative to the lowest polymorph listed for this composition is 9.4 kJ per mole of atoms. The calculation puts the energy relative to the elements at 0.216 eV per atom. The value obtained for the size of the total moment is 0.0003 μB/atom.

a b c (Å): 3.532 5.805 7.025
angles (deg): 90.00 90.00 90.00
Element x y z (fractional)
1 Ac 0.000 0.000 0.000
2 Tb 0.500 0.500 0.743
3 Sm 0.000 0.500 0.282
4 Y 0.000 0.000 0.515

***

Entry 9:
VASP calculation (PBE) on a geometry-optimized BaCe2Cu2S6 structure.

## Properties
The value obtained for the size of the total moment is 0.0000 μB/atom. Its total energy is -62.0 eV/f.u.

a b c (Å): 7.321 7.481 7.482
angles (deg): 60.35 61.13 61.26
Element x y z (fractional)
1 Ba 0.000 0.000 0.000
2 Ce 0.325 0.327 0.026
3 Ce 0.675 0.673 0.974
4 Cu 0.279 0.689 0.575
5 Cu 0.721 0.311 0.425
6 S 0.093 0.451 0.761
7 S 0.307 0.909 0.235
8 S 0.437 0.698 0.763
9 S 0.563 0.302 0.237
10 S 0.693 0.091 0.765
11 S 0.907 0.549 0.239

***

Entry 10:
VASP calculation (PBE) on a geometry-optimized Er2ScIr structure.

## Properties
The energy relative to the lowest polymorph listed for this composition is 19.2 kJ per mole of atoms. The calculation puts the energy relative to the elements at -0.371 eV per atom. The value obtained for the size of the total moment is 0.0000 μB/atom.

a b c (Å): 11.150 5.660 6.760
angles (deg): 90.00 108.89 90.00
Element x y z (fractional)
1 Er 0.188 0.011 0.097
2 Er 0.188 0.989 0.597
3 Er 0.312 0.489 0.903
4 Er 0.312 0.511 0.403
5 Er 0.688 0.489 0.597
6 Er 0.688 0.511 0.097
7 Er 0.812 0.011 0.403
8 Er 0.812 0.989 0.903
9 Sc 0.000 0.368 0.250
10 Sc 0.000 0.632 0.750
11 Sc 0.500 0.132 0.750
12 Sc 0.500 0.868 0.250
13 Ir 0.000 0.154 0.750
14 Ir 0.000 0.846 0.250
15 Ir 0.500 0.346 0.250
16 Ir 0.500 0.654 0.750

***

Entry 11:
VASP calculation (PBE) on a geometry-optimized Th2Si4IrPt3 structure.

## Properties
The value obtained for the size of the total moment is 0.0000 μB/atom. Its total energy is -74.7 eV/f.u.

a b c (Å): 4.227 4.227 10.003
angles (deg): 90.00 90.00 90.00
Element x y z (fractional)
1 Th 0.000 0.500 0.249
2 Th 0.500 0.000 0.751
3 Si 0.000 0.000 0.500
4 Si 0.000 0.500 0.866
5 Si 0.500 0.000 0.134
6 Si 0.500 0.500 0.500
7 Ir 0.500 0.500 0.000
8 Pt 0.000 0.000 0.000
9 Pt 0.000 0.500 0.622
10 Pt 0.500 0.000 0.378

***

Entry 12:
VASP calculation (PBE) on a geometry-optimized Si2AsCl structure.

## Properties
The energy relative to the lowest polymorph listed for this composition is 25.7 kJ per mole of atoms. The value obtained for the size of the total moment is 0.0000 μB/atom.

a b c (Å): 3.521 5.664 8.785
angles (deg): 90.00 90.00 90.00
Element x y z (fractional)
1 Si 0.000 0.000 0.000
2 Si 0.000 0.500 0.196
3 Si 0.500 0.000 0.196
4 Si 0.500 0.500 0.000
5 As 0.000 0.500 0.815
6 As 0.500 0.000 0.815
7 Cl 0.000 0.000 0.397
8 Cl 0.500 0.500 0.397